# GGA-PBE Tm3HfTl4S8, optimized geometry
data_Tm3HfTl4S8
_cell_length_a 7.7320
_cell_length_b 9.0977
_cell_length_c 7.7308
_cell_angle_alpha 115.03
_cell_angle_beta 120.01
_cell_angle_gamma 90.00
_space_group_name_H-M_alt 'P 1'
_space_group_IT_number 1
loop_
_space_group_symop_operation_xyz
'x,y,z'
loop_
_atom_site_label
_atom_site_fract_x
_atom_site_fract_y
_atom_site_fract_z
Tm1 0.5000 0.5000 0.0000
Tm2 0.5000 0.5000 0.5000
Tm3 0.0000 0.5000 0.5000
Hf1 0.0000 0.5000 0.0000
Tl1 0.5000 0.0000 0.0000
Tl2 0.5000 0.0000 0.5000
Tl3 0.0000 0.0000 0.0000
Tl4 0.0000 0.0000 0.5000
S1 0.2196 0.6833 0.9631
S2 0.2195 0.6832 0.4390
S3 0.2707 0.3113 0.5413
S4 0.7435 0.6833 0.9631
S5 0.2565 0.3167 0.0369
S6 0.7293 0.6887 0.4587
S7 0.7805 0.3168 0.5610
S8 0.7804 0.3167 0.0369
# - E_form (uncorrected): -1.38 eV/atom
# - Total energy: -87.9 eV for the cell shown
# - N(E_F): 4.32 states/eV/f.u.
# - Density: 7.11 g cm⁻³
# - Crystal system: monoclinic
# - Space-group type: C2/m, No. 12

=====

# GGA-PBE HfTl2VS, optimized geometry
data_HfTl2VS
_cell_length_a 5.6913
_cell_length_b 4.7317
_cell_length_c 5.6913
_cell_angle_alpha 90.00
_cell_angle_beta 90.00
_cell_angle_gamma 90.00
_space_group_name_H-M_alt 'P 1'
_space_group_IT_number 1
loop_
_space_group_symop_operation_xyz
'x,y,z'
loop_
_atom_site_label
_atom_site_fract_x
_atom_site_fract_y
_atom_site_fract_z
Tl1 0.0000 0.0000 0.5000
Tl2 0.5000 0.0000 0.0000
Hf1 0.0000 0.0000 0.0000
S1 0.0000 0.5000 0.0000
V1 0.5000 0.5000 0.5000
# - E_form (uncorrected): 0.89 eV/atom
# - Total energy: -23.5 eV for the cell shown
# - N(E_F): 9.87 states/eV/f.u.
# - Density: 7.26 g cm⁻³
# - Crystal system: tetragonal
# - Space-group type: P4/mmm, No. 123

=====

# GGA-PBE Y2HfTl3S6, optimized geometry
data_Y2HfTl3S6
_cell_length_a 6.7125
_cell_length_b 6.7125
_cell_length_c 9.0285
_cell_angle_alpha 102.53
_cell_angle_beta 102.53
_cell_angle_gamma 119.78
_space_group_name_H-M_alt 'P 1'
_space_group_IT_number 1
loop_
_space_group_symop_operation_xyz
'x,y,z'
loop_
_atom_site_label
_atom_site_fract_x
_atom_site_fract_y
_atom_site_fract_z
Y1 0.3337 0.6663 0.0000
Y2 0.6663 0.3337 0.0000
Hf1 0.0000 0.0000 0.0000
Tl1 0.1698 0.8302 0.5000
Tl2 0.8302 0.1698 0.5000
Tl3 0.5000 0.5000 0.5000
S1 0.8953 0.5813 0.8199
S2 0.7944 0.7944 0.1832
S3 0.1047 0.4187 0.1801
S4 0.5813 0.8953 0.8199
S5 0.2056 0.2056 0.8168
S6 0.4187 0.1047 0.1801
# - E_form (uncorrected): -1.35 eV/atom
# - Total energy: -71.0 eV for the cell shown
# - N(E_F): 2.26 states/eV/f.u.
# - Density: 6.06 g cm⁻³
# - Crystal system: monoclinic
# - Space-group type: C2/m, No. 12

=====

# GGA-PBE Y2HfTl2S6, optimized geometry
data_Y2HfTl2S6
_cell_length_a 6.7594
_cell_length_b 6.7594
_cell_length_c 7.9344
_cell_angle_alpha 98.41
_cell_angle_beta 98.41
_cell_angle_gamma 119.71
_space_group_name_H-M_alt 'P 1'
_space_group_IT_number 1
loop_
_space_group_symop_operation_xyz
'x,y,z'
loop_
_atom_site_label
_atom_site_fract_x
_atom_site_fract_y
_atom_site_fract_z
Y1 0.3330 0.6670 0.5000
Y2 0.6670 0.3330 0.5000
Hf1 0.0000 0.0000 0.5000
Tl1 0.8303 0.1697 0.0000
Tl2 0.1697 0.8303 0.0000
S1 0.7542 0.7542 0.6936
S2 0.0657 0.3798 0.6922
S3 0.2458 0.2458 0.3064
S4 0.3798 0.0657 0.6922
S5 0.9343 0.6202 0.3078
S6 0.6202 0.9343 0.3078
# - E_form (uncorrected): -1.52 eV/atom
# - Total energy: -69.1 eV for the cell shown
# - N(E_F): 0.00 states/eV/f.u.
# - Density: 5.28 g cm⁻³
# - Crystal system: monoclinic
# - Space-group type: C2/m, No. 12

=====

# GGA-PBE Y3HfTl4S8, optimized geometry
data_Y3HfTl4S8
_cell_length_a 7.8358
_cell_length_b 9.0816
_cell_length_c 7.8347
_cell_angle_alpha 115.51
_cell_angle_beta 120.00
_cell_angle_gamma 90.00
_space_group_name_H-M_alt 'P 1'
_space_group_IT_number 1
loop_
_space_group_symop_operation_xyz
'x,y,z'
loop_
_atom_site_label
_atom_site_fract_x
_atom_site_fract_y
_atom_site_fract_z
Y1 0.5000 0.5000 0.0000
Y2 0.5000 0.5000 0.5000
Y3 0.0000 0.5000 0.5000
Hf1 0.0000 0.5000 0.0000
Tl1 0.5000 0.0000 0.0000
Tl2 0.5000 0.0000 0.5000
Tl3 0.0000 0.0000 0.0000
Tl4 0.0000 0.0000 0.5000
S1 0.2184 0.6859 0.9674
S2 0.2183 0.6858 0.4366
S3 0.2687 0.3060 0.5374
S4 0.7490 0.6859 0.9674
S5 0.2510 0.3141 0.0326
S6 0.7313 0.6940 0.4626
S7 0.7817 0.3142 0.5634
S8 0.7816 0.3141 0.0326
# - E_form (uncorrected): -1.38 eV/atom
# - Total energy: -93.9 eV for the cell shown
# - N(E_F): 4.58 states/eV/f.u.
# - Density: 6.02 g cm⁻³
# - Crystal system: monoclinic
# - Space-group type: C2/m, No. 12

=====

# GGA-PBE TmHf2S6, optimized geometry
data_TmHf2S6
_cell_length_a 6.1296
_cell_length_b 6.1296
_cell_length_c 11.4434
_cell_angle_alpha 90.00
_cell_angle_beta 90.00
_cell_angle_gamma 90.00
_space_group_name_H-M_alt 'P 1'
_space_group_IT_number 1
loop_
_space_group_symop_operation_xyz
'x,y,z'
loop_
_atom_site_label
_atom_site_fract_x
_atom_site_fract_y
_atom_site_fract_z
Tm1 0.5000 0.5000 0.0000
Tm2 0.0000 0.0000 0.5000
Hf1 0.5000 0.5000 0.3350
Hf2 0.5000 0.5000 0.6650
Hf3 0.0000 0.0000 0.1650
Hf4 0.0000 0.0000 0.8350
S1 0.7044 0.7044 0.1771
S2 0.7044 0.7044 0.8229
S3 0.6917 0.6917 0.5000
S4 0.8083 0.1917 0.0000
S5 0.7956 0.2044 0.3229
S6 0.7956 0.2044 0.6771
S7 0.2044 0.7956 0.3229
S8 0.2044 0.7956 0.6771
S9 0.1917 0.8083 0.0000
S10 0.3083 0.3083 0.5000
S11 0.2956 0.2956 0.1771
S12 0.2956 0.2956 0.8229
# - E_form (uncorrected): -1.45 eV/atom
# - Total energy: -124.4 eV for the cell shown
# - N(E_F): 5.58 states/eV/f.u.
# - Density: 5.55 g cm⁻³
# - Crystal system: tetragonal
# - Space-group type: P4_2/mnm, No. 136

=====

Q: Among the records above, which one has the lowest total energy?
A: TmHf2S6

=====

Copy entry 1 word for word.
# GGA-PBE Tm3HfTl4S8, optimized geometry
data_Tm3HfTl4S8
_cell_length_a 7.7320
_cell_length_b 9.0977
_cell_length_c 7.7308
_cell_angle_alpha 115.03
_cell_angle_beta 120.01
_cell_angle_gamma 90.00
_space_group_name_H-M_alt 'P 1'
_space_group_IT_number 1
loop_
_space_group_symop_operation_xyz
'x,y,z'
loop_
_atom_site_label
_atom_site_fract_x
_atom_site_fract_y
_atom_site_fract_z
Tm1 0.5000 0.5000 0.0000
Tm2 0.5000 0.5000 0.5000
Tm3 0.0000 0.5000 0.5000
Hf1 0.0000 0.5000 0.0000
Tl1 0.5000 0.0000 0.0000
Tl2 0.5000 0.0000 0.5000
Tl3 0.0000 0.0000 0.0000
Tl4 0.0000 0.0000 0.5000
S1 0.2196 0.6833 0.9631
S2 0.2195 0.6832 0.4390
S3 0.2707 0.3113 0.5413
S4 0.7435 0.6833 0.9631
S5 0.2565 0.3167 0.0369
S6 0.7293 0.6887 0.4587
S7 0.7805 0.3168 0.5610
S8 0.7804 0.3167 0.0369
# - E_form (uncorrected): -1.38 eV/atom
# - Total energy: -87.9 eV for the cell shown
# - N(E_F): 4.32 states/eV/f.u.
# - Density: 7.11 g cm⁻³
# - Crystal system: monoclinic
# - Space-group type: C2/m, No. 12

=====

Q: Which formula does entry 1 have?
A: Tm3HfTl4S8

=====

Q: What is the E_form (uncorrected) in the sixth record?
A: -1.45 eV/atom